A relaxed LaCoP crystal. Source: the Alexandria database, functional PBE.

## Properties
Total magnetic moment = 0.334 μB/atom
E_form = -336 meV per atom

Cell: 4.522 4.522 4.522 Å, 60.00 60.00 60.00°
Fractional positions:
Co (0.000, 0.000, 0.000)
La (0.500, 0.500, 0.500)
P (0.750, 0.750, 0.750)


A relaxed TaCuAu crystal. Source: the Alexandria database, functional PBE.

## Properties
Offset from the most stable computed form = 15 meV/atom
Total magnetic moment = 0.000 μB/atom
E_form = 10 meV per atom

Cell: 3.891 6.349 4.107 Å, 90.00 90.00 107.84°
Fractional positions:
Ta (0.251, 0.502, 0.250)
Ta (0.749, 0.498, 0.750)
Cu (0.086, 0.172, 0.750)
Cu (0.914, 0.828, 0.250)
Au (0.580, 0.161, 0.250)
Au (0.420, 0.839, 0.750)


A relaxed GaHg3Te crystal. Source: the Alexandria database, functional PBE.

## Properties
Offset from the most stable computed form = 0 meV/atom
Total magnetic moment = 0.000 μB/atom
Formation energy without anion corrections = 0.192 eV per atom

Cell: 5.306 5.306 5.306 Å, 90.00 90.00 90.00°
Fractional positions:
Te (0.500, 0.500, 0.500)
Hg (0.000, 0.500, 0.000)
Hg (0.000, 0.000, 0.500)
Hg (0.500, 0.000, 0.000)
Ga (0.000, 0.000, 0.000)


A relaxed PmY2Ag crystal. Source: the Alexandria database, functional PBE.

## Properties
Offset from the most stable computed form = 161 meV/atom
Total magnetic moment = 0.000 μB/atom
E_form = 23 meV per atom

Cell: 3.686 5.528 5.528 Å, 90.00 90.00 90.00°
Fractional positions:
Y (0.000, 0.000, 0.500)
Y (0.000, 0.500, 0.000)
Ag (0.500, 0.000, 0.000)
Pm (0.500, 0.500, 0.500)


A relaxed CaAc2In12Ni3 crystal. Source: the Alexandria database, functional PBE.

## Properties
Total magnetic moment = 0.000 μB/atom
E_form = -51 meV per atom

Cell: 8.754 8.754 8.754 Å, 64.40 64.40 64.40°
Fractional positions:
Ca (0.000, 0.000, 0.000)
Ac (0.586, 0.586, 0.586)
Ac (0.414, 0.414, 0.414)
In (0.276, 0.276, 0.887)
In (0.841, 0.841, 0.460)
In (0.460, 0.841, 0.841)
In (0.887, 0.276, 0.276)
In (0.841, 0.460, 0.841)
In (0.276, 0.887, 0.276)
In (0.724, 0.724, 0.113)
In (0.159, 0.159, 0.540)
In (0.540, 0.159, 0.159)
In (0.113, 0.724, 0.724)
In (0.159, 0.540, 0.159)
In (0.724, 0.113, 0.724)
Ni (0.500, 0.000, 0.000)
Ni (0.000, 0.500, 0.000)
Ni (0.000, 0.000, 0.500)


A relaxed SrPmTl crystal. Source: the Alexandria database, functional PBE.

## Properties
Offset from the most stable computed form = 68 meV/atom
Total magnetic moment = 0.000 μB/atom
E_form = -192 meV per atom

Cell: 3.948 3.948 7.538 Å, 105.18 105.18 90.00°
Fractional positions:
Sr (0.303, 0.303, 0.605)
Tl (0.962, 0.962, 0.925)
Pm (0.585, 0.585, 0.170)